# FeSnN2F

A relaxed structure of FeSnN2F (PBE with a Hubbard U, Alexandria).

Geometry as POSCAR:
```
FeSnN2F
1.0
3.939 0.000 0.000
0.000 3.939 0.000
0.000 0.000 4.021
N F Sn Fe
2 1 1 1
Direct
0.000 0.500 0.000
0.500 0.000 0.000
0.000 0.000 0.500
0.500 0.500 0.500
0.000 0.000 0.000
```

Results
Excess energy over the best structure of this formula in the dataset, meV per atom: 0
Total magnetic moment, μB per atom: 0.75